1.
Material: LiHgSe2
Method: DFT, PBE
State: optimized geometry

Cell: 2.9189 2.9189 10.5797 Å, 90.00 90.00 90.00°
Last column: nearest neighbours and their distance in Å.
Space group P4mm (No. 99)
One atom of each set of equivalent atoms:
Li 0.0000 0.0000 0.0000 x1  4 Se 2.68, 4 Li 2.92
Hg 0.5000 0.5000 0.7847 x1  4 Hg 2.92, 4 Li 3.07
Se 0.0000 0.0000 0.5304 x1  4 Se 2.92
Se 0.5000 0.5000 0.1612 x1  4 Li 2.68, 4 Se 2.92

Output
* crystal system: tetragonal
* formation energy without anion corrections: -0.79 eV per formula unit
* V: 22.53 A^3/atom


2.
Material: Pm8PtAu2
Method: DFT, PBE
State: optimized geometry

Cell: 6.9516 19.3016 5.6994 Å, 90.00 119.99 90.00°
Last column: nearest neighbours and their distance in Å.
Space group Cm (No. 8)
One atom of each set of equivalent atoms:
Pm 0.0000 0.0000 0.0000 x2  1 Pt 2.90
Pm 0.0370 0.5000 0.1793 x2  1 Pt 2.97
Pm 0.1019 0.3789 0.7402 x4  1 Pt 2.92, 2 Au 3.08-3.15
Pm 0.2881 0.2008 0.0975 x4  4 Au 3.00-3.36
Pm 0.4948 0.3842 0.4746 x4  1 Pt 2.98, 2 Au 3.15-3.21
Pt 0.3106 0.0000 0.5783 x2  6 Pm 2.90-2.98
Au 0.2931 0.2523 0.5979 x4  8 Pm 3.00-3.36

Output
* offset from the most stable computed form: 0.050 eV per atom
* calculated formation energy: -0.445 eV per atom
* crystal system: monoclinic
* V: 30.11 A^3/atom


3.
Material: Ta4ZnCo
Method: DFT, PBE
State: optimized geometry

Cell: 6.2557 6.2557 5.0036 Å, 90.00 90.00 90.00°
Last column: nearest neighbours and their distance in Å.
Space group P4/mcc (No. 124)
One atom of each set of equivalent atoms:
Ta 0.1457 0.3314 0.0000 x8  2 Co 2.59, 2 Zn 2.75, 1 Ta 2.79
Zn 0.5000 0.5000 0.2500 x2  2 Zn 2.50, 8 Ta 2.75
Co 0.0000 0.0000 0.2500 x2  2 Co 2.50, 8 Ta 2.59

Output
* offset from the most stable computed form: 0.000 eV per atom
* calculated formation energy: -0.105 eV per atom
* crystal system: tetragonal
* V: 16.32 A^3/atom


4.
Material: RbTlIO6
Method: DFT, PBE
State: optimized geometry

Cell: 5.6452 5.6452 6.2380 Å, 90.00 90.00 120.00°
Last column: nearest neighbours and their distance in Å.
Space group P312 (No. 149)
One atom of each set of equivalent atoms:
Rb 0.0000 0.0000 0.0000 x1  6 O 2.94
Tl 0.3333 0.6667 0.5000 x1  6 O 2.28
I 0.6667 0.3333 0.5000 x1  6 O 1.91
O 0.4051 0.0482 0.6799 x6  1 I 1.91

Output
* crystal system: trigonal
* formation energy without anion corrections: -5.22 eV per formula unit
* V: 19.13 A^3/atom


5.
Material: AcLaEuEr
Method: DFT, PBE
State: optimized geometry

Cell: 8.4918 8.4918 8.4918 Å, 90.00 90.00 90.00°
Last column: nearest neighbours and their distance in Å.
Space group F-43m (No. 216)
One atom of each set of equivalent atoms:
Ac 0.0000 0.0000 0.0000 x4  4 Er 3.68, 4 Eu 3.68
La 0.0000 0.0000 0.5000 x4  4 Er 3.68, 4 Eu 3.68
Eu 0.2500 0.2500 0.2500 x4  4 Ac 3.68, 4 La 3.68
Er 0.2500 0.2500 0.7500 x4  4 Ac 3.68, 4 La 3.68

Output
* calculated formation energy: 0.106 eV per atom
* crystal system: cubic
* V: 38.27 A^3/atom


6.
Material: Pm2HgIr
Method: DFT, PBE
State: optimized geometry

Cell: 3.5985 3.5985 7.6801 Å, 90.00 90.00 90.00°
Last column: nearest neighbours and their distance in Å.
Space group P4/mmm (No. 123)
One atom of each set of equivalent atoms:
Pm 0.0000 0.0000 0.2189 x2  4 Ir 3.05, 4 Hg 3.34, 1 Pm 3.36
Hg 0.5000 0.5000 0.5000 x1  8 Pm 3.34, 4 Hg 3.60
Ir 0.5000 0.5000 0.0000 x1  8 Pm 3.05

Output
* offset from the most stable computed form: 0.000 eV per atom
* calculated formation energy: -0.581 eV per atom
* crystal system: tetragonal
* V: 24.86 A^3/atom


7.
Material: ScZnN
Method: DFT, PBE
State: optimized geometry

Cell: 3.2421 10.8840 4.5002 Å, 90.00 90.00 90.00°
Last column: nearest neighbours and their distance in Å.
Space group Cmcm (No. 63)
One atom of each set of equivalent atoms:
Sc 0.0000 0.1806 0.2500 x4  4 N 2.14-2.25
Zn 0.0000 0.4448 0.2500 x4  2 N 2.19
N 0.0000 0.1907 0.7500 x4  4 Sc 2.14-2.25, 2 Zn 2.19

Output
* offset from the most stable computed form: 0.122 eV per atom
* crystal system: orthorhombic
* formation energy without anion corrections: -3.06 eV per formula unit
* V: 13.23 A^3/atom


8.
Material: LiTe2PdN
Method: DFT, PBE
State: optimized geometry

Cell: 5.6788 5.6788 3.6678 Å, 90.00 90.00 90.00°
Last column: nearest neighbours and their distance in Å.
Space group P4/mmm (No. 123)
One atom of each set of equivalent atoms:
Li 0.0000 0.0000 0.0000 x1  8 Te 3.38, 2 Li 3.67
Te 0.0000 0.5000 0.5000 x2  2 Pd 2.84
Pd 0.5000 0.5000 0.5000 x1  2 N 1.83
N 0.5000 0.5000 0.0000 x1  2 Pd 1.83

Output
* offset from the most stable computed form: 0.000 eV per atom
* crystal system: tetragonal
* formation energy without anion corrections: 1.67 eV per formula unit
* V: 23.66 A^3/atom